# Pm2PdS

A relaxed Pm2PdS crystal (PBE-GGA, the Alexandria database).

abc: 3.9666 23.4122 4.1346
angles: 90.00 90.00 90.00
Closest atoms and distances in Å follow each position.
Sites, in units of the cell vectors:
Pm (0.0000, 0.0691, 0.2500)  1 S 2.85, 4 Pd 2.93
Pm (0.0000, 0.3111, 0.2500)  5 S 2.82-2.87
Pm (0.0000, 0.6889, 0.7500)  5 S 2.82-2.87
Pm (0.0000, 0.9309, 0.7500)  1 S 2.85, 4 Pd 2.93
Pm (0.5000, 0.1889, 0.7500)  5 S 2.82-2.87
Pm (0.5000, 0.4309, 0.7500)  1 S 2.85, 4 Pd 2.93
Pm (0.5000, 0.5691, 0.2500)  1 S 2.85, 4 Pd 2.93
Pm (0.5000, 0.8111, 0.2500)  5 S 2.82-2.87
Pd (0.0000, 0.4564, 0.2500)  2 Pd 2.91, 4 Pm 2.93
Pd (0.0000, 0.5436, 0.7500)  2 Pd 2.91, 4 Pm 2.93
Pd (0.5000, 0.0436, 0.7500)  2 Pd 2.91, 4 Pm 2.93
Pd (0.5000, 0.9564, 0.2500)  2 Pd 2.91, 4 Pm 2.93
S (0.0000, 0.1907, 0.2500)  6 Pm 2.82-2.87
S (0.0000, 0.8093, 0.7500)  6 Pm 2.82-2.87
S (0.5000, 0.3093, 0.7500)  6 Pm 2.82-2.87
S (0.5000, 0.6907, 0.2500)  6 Pm 2.82-2.87

Summary:
Total magnetic moment ... 0.00 μB/atom
ΔE_f (raw) ... -1.408 eV/atom
Raw total energy ... -6.11 eV/atom